A relaxed VSe2I2 crystal, computed with GGA-PBE.

Energy   -4.011 eV per atom
SG   Ibam
Crystal system   orthorhombic

Unit cell a=7.786 b=7.786 c=7.786 alpha=123.52 beta=79.22 gamma=129.41
Fractional coordinates of all 10 atoms:
V: 0.250 0.250 0.000
V: 0.750 0.750 0.000
Se: 0.063 0.230 0.293
Se: 0.437 0.730 0.167
Se: 0.563 0.270 0.833
Se: 0.937 0.770 0.707
I: 0.185 0.787 0.972
I: 0.315 0.287 0.603
I: 0.685 0.713 0.397
I: 0.815 0.213 0.028

***

A relaxed AsI2Br crystal, computed with GGA-PBE.

Distance to the lowest polymorph of the same formula   0.000 eV per atom
Energy   -2.607 eV per atom
SG   P1
Crystal system   triclinic

Unit cell a=4.289 b=6.806 c=7.618 alpha=112.35 beta=99.65 gamma=101.09
Fractional coordinates of all 4 atoms:
As: 0.000 0.000 0.000
I: 0.447 0.755 0.713
I: 0.737 0.132 0.305
Br: 0.113 0.324 0.945

***

A relaxed TiRuS2Cl crystal, computed with GGA-PBE.

Distance to the lowest polymorph of the same formula   0.175 eV per atom
Energy   -5.166 eV per atom
SG   P4/mmm
Crystal system   tetragonal

Unit cell a=4.606 b=4.606 c=4.649 alpha=90.00 beta=90.00 gamma=90.00
Fractional coordinates of all 5 atoms:
Ti: 0.000 0.000 0.000
Ru: 0.500 0.500 0.500
S: 0.000 0.500 0.500
S: 0.500 0.000 0.500
Cl: 0.500 0.500 0.000

***

A relaxed BaNiS crystal, computed with GGA-PBE.

Energy   -4.933 eV per atom
SG   Ima2
Crystal system   orthorhombic

Unit cell a=8.642 b=4.075 c=8.336 alpha=90.00 beta=90.00 gamma=90.00
Fractional coordinates of all 12 atoms:
Ba: 0.000 0.000 0.000
Ba: 0.000 0.500 0.500
Ba: 0.500 0.000 0.000
Ba: 0.500 0.500 0.500
Ni: 0.250 0.001 0.715
Ni: 0.250 0.499 0.215
Ni: 0.750 0.501 0.215
Ni: 0.750 0.999 0.715
S: 0.250 0.501 0.790
S: 0.250 0.999 0.290
S: 0.750 0.001 0.290
S: 0.750 0.499 0.790

***

| no. | ΔE_f (raw) (eV per atom) | spin magnetization (μB/f.u.) |
| --- | --- | --- |
| 1 | -0.174 | 1.22 |
| 2 | -0.251 | 0.00 |
| 3 | 0.288 | 0.15 |
| 4 | -0.990 | 0.00 |